# 1
Material: ScBeZnGa
Method: DFT, GGA-PBE
State: optimized geometry

Cell lengths 4.406, 4.406, 4.406 Å; angles 60.00, 60.00, 60.00 degrees
Element x y z (fractional)
Be 0.250 0.250 0.250
Ga 0.000 0.000 0.000
Sc 0.750 0.750 0.750
Zn 0.500 0.500 0.500

Computed properties:
Offset from the most stable computed form in meV/atom: 0
Total DFT energy (no corrections) in eV/atom: -3.708



# 2
Material: SrCoP2Pd
Method: DFT, GGA-PBE
State: optimized geometry

Cell lengths 6.310, 6.310, 6.310 Å; angles 143.26, 143.26, 52.93 degrees
Element x y z (fractional)
Co 0.250 0.750 0.500
P 0.360 0.360 0.000
P 0.640 0.640 0.000
Pd 0.750 0.250 0.500
Sr 0.000 0.000 0.000

Computed properties:
Total DFT energy (no corrections) in eV/atom: -5.658



# 3
Material: NbZnGa2
Method: DFT, GGA-PBE
State: optimized geometry

Cell lengths 4.562, 4.562, 4.562 Å; angles 60.00, 60.00, 60.00 degrees
Element x y z (fractional)
Ga 0.000 0.000 0.000
Ga 0.750 0.750 0.750
Nb 0.500 0.500 0.500
Zn 0.250 0.250 0.250

Computed properties:
Total DFT energy (no corrections) in eV/atom: -4.067